Compound: TlBi2AsS
Source: Alexandria
Functional: PBE
Structure: optimized geometry

Cell: 5.9099 5.0792 5.9099 Å, 90.00 90.00 90.00°
With the nearest neighbours (Å) after each atom.
Fractional positions:
1 S 0.5000 0.5000 0.5000  8 Bi 3.90, 4 As 4.18
2 As 0.0000 0.5000 0.0000  2 Tl 2.54
3 Tl 0.0000 0.0000 0.0000  2 As 2.54
4 Bi 0.0000 0.0000 0.5000  2 Tl 2.95
5 Bi 0.5000 0.0000 0.0000  2 Tl 2.95

Electronic total energy   -2.672 eV/atom
Mass density   6.827 Mg/m³
Formation energy from raw total energies   1.11 eV per atom
Crystal system   tetragonal
Magnetization   0.0 μB per cell